*a*
BTe2Br | PBE | optimized geometry

Unit cell a=5.3815 b=5.3815 c=5.3815 alpha=69.07 beta=69.07 gamma=69.07
Fractional coordinates of all 4 atoms:
B 0.0000 0.0000 0.0000
Te 0.1660 0.1660 0.1660
Te 0.8340 0.8340 0.8340
Br 0.5000 0.5000 0.5000

Volume ... 32.80 A^3/atom

***

*b*
BTe2Br | PBE | optimized geometry

Unit cell a=8.8364 b=8.8364 c=8.8364 alpha=23.73 beta=23.73 gamma=23.73
Fractional coordinates of all 4 atoms:
B 0.0000 0.0000 0.0000
Te 0.3891 0.3891 0.3891
Te 0.6109 0.6109 0.6109
Br 0.5000 0.5000 0.5000

Volume ... 24.55 A^3/atom

***

*c*
BTe2Br | PBE | optimized geometry

Unit cell a=5.0212 b=5.0212 c=5.0212 alpha=60.00 beta=60.00 gamma=60.00
Fractional coordinates of all 4 atoms:
B 0.0000 0.0000 0.0000
Te 0.2500 0.2500 0.2500
Te 0.7500 0.7500 0.7500
Br 0.5000 0.5000 0.5000

Volume ... 22.38 A^3/atom

***

*d*
BTe2Br | PBE | optimized geometry

Unit cell a=6.6172 b=6.6172 c=6.6172 alpha=116.32 beta=116.32 gamma=96.51
Fractional coordinates of all 8 atoms:
B 0.0000 0.0000 0.0000
B 0.7500 0.2500 0.5000
Te 0.0231 0.1250 0.3981
Te 0.3750 0.9769 0.1019
Te 0.7269 0.6250 0.6019
Te 0.8750 0.2731 0.8981
Br 0.2500 0.7500 0.5000
Br 0.5000 0.5000 0.0000

Volume ... 26.85 A^3/atom

***

Most stable of them? *d*.

***

*a*
TiB3Br | PBE | optimized geometry

Unit cell a=4.4387 b=4.4387 c=4.4387 alpha=90.00 beta=90.00 gamma=90.00
Fractional coordinates of all 5 atoms:
Ti 0.0000 0.0000 0.0000
B 0.0000 0.0000 0.5000
B 0.0000 0.5000 0.0000
B 0.5000 0.0000 0.0000
Br 0.5000 0.5000 0.5000

Volume ... 17.49 A^3/atom

***

*b*
TiB3Br | PBE | optimized geometry

Unit cell a=4.0816 b=4.0816 c=4.0816 alpha=90.00 beta=90.00 gamma=90.00
Fractional coordinates of all 5 atoms:
Ti 0.0000 0.0000 0.0000
B 0.0000 0.5000 0.5000
B 0.5000 0.0000 0.5000
B 0.5000 0.5000 0.0000
Br 0.5000 0.5000 0.5000

Volume ... 13.60 A^3/atom

***

Most stable of them? *a*.

***

*a*
TiBBr2 | PBE | optimized geometry

Unit cell a=7.1580 b=7.1580 c=7.1580 alpha=95.34 beta=95.34 gamma=144.49
Fractional coordinates of all 8 atoms:
Ti 0.0000 0.0000 0.0000
Ti 0.7500 0.2500 0.5000
B 0.2500 0.7500 0.5000
B 0.5000 0.5000 0.0000
Br 0.3750 0.0492 0.1742
Br 0.7992 0.6250 0.6742
Br 0.8750 0.2008 0.8258
Br 0.9508 0.1250 0.3258

Volume ... 25.36 A^3/atom

***

*b*
TiBBr2 | PBE | optimized geometry

Unit cell a=4.6983 b=4.6983 c=4.6983 alpha=60.00 beta=60.00 gamma=60.00
Fractional coordinates of all 4 atoms:
Ti 0.0000 0.0000 0.0000
B 0.5000 0.5000 0.5000
Br 0.2500 0.2500 0.2500
Br 0.7500 0.7500 0.7500

Volume ... 18.33 A^3/atom

***

*c*
TiBBr2 | PBE | optimized geometry

Unit cell a=9.2411 b=9.2411 c=9.2411 alpha=20.94 beta=20.94 gamma=20.94
Fractional coordinates of all 4 atoms:
Ti 0.0000 0.0000 0.0000
B 0.5000 0.5000 0.5000
Br 0.3981 0.3981 0.3981
Br 0.6019 0.6019 0.6019

Volume ... 22.06 A^3/atom

***

Most stable of them? *a*.

***

*a*
Tl2B2Br7 | PBE | optimized geometry

Unit cell a=7.4363 b=7.4363 c=16.0903 alpha=93.03 beta=93.03 gamma=103.76
Fractional coordinates of all 22 atoms:
Tl 0.0043 0.7510 0.9998
Tl 0.2490 0.9957 0.5002
Tl 0.7510 0.0043 0.4998
Tl 0.9957 0.2490 0.0002
B 0.0806 0.5433 0.7052
B 0.4567 0.9194 0.7948
B 0.5433 0.0806 0.2052
B 0.9194 0.4567 0.2948
Br 0.0096 0.7438 0.6422
Br 0.0702 0.5176 0.1965
Br 0.0772 0.3150 0.6308
Br 0.2562 0.9904 0.8578
Br 0.3150 0.0772 0.1308
Br 0.3702 0.6298 0.7500
Br 0.4824 0.9298 0.3035
Br 0.5176 0.0702 0.6965
Br 0.6298 0.3702 0.2500
Br 0.6850 0.9228 0.8692
Br 0.7438 0.0096 0.1422
Br 0.9228 0.6850 0.3692
Br 0.9298 0.4824 0.8035
Br 0.9904 0.2562 0.3578

Volume ... 39.14 A^3/atom

***

*b*
Tl2B2Br7 | PBE | optimized geometry

Unit cell a=7.8592 b=7.8592 c=6.3871 alpha=94.67 beta=94.67 gamma=98.77
Fractional coordinates of all 11 atoms:
Tl 0.2276 0.7724 0.0000
Tl 0.7724 0.2276 0.0000
B 0.2779 0.2779 0.5574
B 0.7221 0.7221 0.4426
Br 0.1045 0.3854 0.7212
Br 0.1690 0.1690 0.2711
Br 0.3854 0.1045 0.7212
Br 0.5000 0.5000 0.5000
Br 0.6146 0.8955 0.2788
Br 0.8310 0.8310 0.7289
Br 0.8955 0.6146 0.2788

Volume ... 35.17 A^3/atom

***

Most stable of them? *a*.

***

*a*
TlBBr2 | PBE | optimized geometry

Unit cell a=7.9975 b=7.9975 c=7.9975 alpha=131.35 beta=131.35 gamma=71.25
Fractional coordinates of all 8 atoms:
Tl 0.0000 0.0000 0.0000
Tl 0.7500 0.2500 0.5000
B 0.2500 0.7500 0.5000
B 0.5000 0.5000 0.0000
Br 0.2421 0.6250 0.1171
Br 0.3750 0.4921 0.6171
Br 0.5079 0.1250 0.8829
Br 0.8750 0.7579 0.3829

Volume ... 35.27 A^3/atom

***

*b*
TlBBr2 | PBE | optimized geometry

Unit cell a=5.3735 b=5.3735 c=5.3735 alpha=60.00 beta=60.00 gamma=60.00
Fractional coordinates of all 4 atoms:
Tl 0.0000 0.0000 0.0000
B 0.5000 0.5000 0.5000
Br 0.2500 0.2500 0.2500
Br 0.7500 0.7500 0.7500

Volume ... 27.43 A^3/atom

***

*c*
TlBBr2 | PBE | optimized geometry

Unit cell a=9.5998 b=9.5998 c=9.5998 alpha=21.29 beta=21.29 gamma=21.29
Fractional coordinates of all 4 atoms:
Tl 0.0000 0.0000 0.0000
B 0.5000 0.5000 0.5000
Br 0.1150 0.1150 0.1150
Br 0.8850 0.8850 0.8850

Volume ... 25.54 A^3/atom

***

Most stable of them? *a*.

***

*a*
Tl2BBr | PBE | optimized geometry

Unit cell a=5.3642 b=5.3642 c=5.3642 alpha=60.00 beta=60.00 gamma=60.00
Fractional coordinates of all 4 atoms:
Tl 0.2500 0.2500 0.2500
Tl 0.7500 0.7500 0.7500
B 0.0000 0.0000 0.0000
Br 0.5000 0.5000 0.5000

Volume ... 27.29 A^3/atom

***

*b*
Tl2BBr | PBE | optimized geometry

Unit cell a=7.3160 b=7.3160 c=7.3160 alpha=128.60 beta=128.60 gamma=75.66
Fractional coordinates of all 8 atoms:
Tl 0.3750 0.2365 0.3615
Tl 0.7635 0.1250 0.1385
Tl 0.8750 0.0135 0.6385
Tl 0.9865 0.6250 0.8615
B 0.0000 0.0000 0.0000
B 0.7500 0.2500 0.5000
Br 0.2500 0.7500 0.5000
Br 0.5000 0.5000 0.0000

Volume ... 29.09 A^3/atom

***

Most stable of them? *b*.